Ce8InPt2 | PBE | relaxed

Cell lengths 7.953, 7.953, 5.467 Å; angles 97.88, 97.88, 116.78 degrees
Positions (direct):
Ce (0.088, 0.088, 0.821)
Ce (0.216, 0.424, 0.435)
Ce (0.249, 0.751, 0.000)
Ce (0.424, 0.216, 0.435)
Ce (0.576, 0.784, 0.565)
Ce (0.751, 0.249, 0.000)
Ce (0.784, 0.576, 0.565)
Ce (0.912, 0.912, 0.179)
In (0.500, 0.500, 0.000)
Pt (0.193, 0.807, 0.500)
Pt (0.807, 0.193, 0.500)

VASP energy   -66.6 eV per cell
N(E_F)   3.021 states/eV per atom
V   27.08 Å³ per atom



Ce3InPt8 | PBE | relaxed

Cell lengths 9.462, 9.462, 9.462 Å; angles 33.56, 33.56, 33.56 degrees
Positions (direct):
Ce (0.000, 0.000, 0.000)
Ce (0.127, 0.127, 0.127)
Ce (0.618, 0.618, 0.618)
In (0.493, 0.493, 0.493)
Pt (0.060, 0.561, 0.561)
Pt (0.061, 0.061, 0.564)
Pt (0.061, 0.564, 0.061)
Pt (0.311, 0.311, 0.311)
Pt (0.561, 0.060, 0.561)
Pt (0.561, 0.561, 0.060)
Pt (0.564, 0.061, 0.061)
Pt (0.811, 0.811, 0.811)

VASP energy   -80.1 eV per cell
N(E_F)   1.299 states/eV per atom
V   19.22 Å³ per atom



CeInPt2 | PBE | relaxed

Cell lengths 4.322, 3.854, 10.320 Å; angles 90.00, 90.00, 90.00 degrees
Positions (direct):
Ce (0.000, 0.000, 0.000)
Ce (0.000, 0.500, 0.500)
In (0.500, 0.000, 0.715)
In (0.500, 0.500, 0.215)
Pt (0.000, 0.000, 0.270)
Pt (0.000, 0.500, 0.770)
Pt (0.500, 0.000, 0.444)
Pt (0.500, 0.500, 0.944)

VASP energy   -48.5 eV per cell
N(E_F)   1.487 states/eV per atom
V   21.49 Å³ per atom



Ce2InPt | PBE | relaxed

Cell lengths 14.473, 3.812, 7.735 Å; angles 90.00, 91.94, 90.00 degrees
Positions (direct):
Ce (0.046, 0.000, 0.287)
Ce (0.235, 0.000, 0.713)
Ce (0.265, 0.500, 0.287)
Ce (0.454, 0.500, 0.713)
Ce (0.546, 0.500, 0.287)
Ce (0.735, 0.500, 0.713)
Ce (0.765, 0.000, 0.287)
Ce (0.954, 0.000, 0.713)
In (0.104, 0.500, 0.959)
In (0.396, 0.000, 0.041)
In (0.604, 0.000, 0.959)
In (0.896, 0.500, 0.041)
Pt (0.103, 0.500, 0.569)
Pt (0.397, 0.000, 0.431)
Pt (0.603, 0.000, 0.569)
Pt (0.897, 0.500, 0.431)

VASP energy   -93.5 eV per cell
N(E_F)   2.714 states/eV per atom
Offset from the most stable computed form   0.0 meV/atom
V   26.66 Å³ per atom



Ce4In5Pt2 | PBE | relaxed

Cell lengths 7.900, 3.638, 9.934 Å; angles 90.00, 94.46, 90.00 degrees
Positions (direct):
Ce (0.174, 0.000, 0.360)
Ce (0.230, 0.000, 0.943)
Ce (0.770, 0.000, 0.057)
Ce (0.826, 0.000, 0.640)
In (0.182, 0.500, 0.653)
In (0.456, 0.500, 0.185)
In (0.500, 0.500, 0.500)
In (0.544, 0.500, 0.815)
In (0.818, 0.500, 0.347)
Pt (0.072, 0.500, 0.140)
Pt (0.928, 0.500, 0.860)

VASP energy   -56.5 eV per cell
N(E_F)   1.924 states/eV per atom
V   25.88 Å³ per atom



CeInPtRh | PBE | relaxed

Cell lengths 6.832, 6.832, 6.832 Å; angles 90.00, 90.00, 90.00 degrees
Positions (direct):
Ce (0.000, 0.000, 0.000)
Ce (0.000, 0.500, 0.500)
Ce (0.500, 0.000, 0.500)
Ce (0.500, 0.500, 0.000)
In (0.000, 0.000, 0.500)
In (0.000, 0.500, 0.000)
In (0.500, 0.000, 0.000)
In (0.500, 0.500, 0.500)
Pt (0.250, 0.250, 0.250)
Pt (0.250, 0.750, 0.750)
Pt (0.750, 0.250, 0.750)
Pt (0.750, 0.750, 0.250)
Rh (0.250, 0.250, 0.750)
Rh (0.250, 0.750, 0.250)
Rh (0.750, 0.250, 0.250)
Rh (0.750, 0.750, 0.750)

VASP energy   -99.8 eV per cell
N(E_F)   0.993 states/eV per atom
V   19.93 Å³ per atom